{"formula": "Ce4AlSn3", "functional": "GGA-PBE", "state": "relaxed", "cell": [[4.340, 0.000, 0.000], [0.000, 4.640, 0.000], [0.000, 0.000, 11.678]], "species": ["Ce", "Ce", "Ce", "Ce", "Al", "Sn", "Sn", "Sn"], "fractional_positions": [[0.000, 0.000, 0.000], [0.000, 0.500, 0.490], [0.500, 0.000, 0.717], [0.500, 0.500, 0.218], [0.000, 0.000, 0.277], [0.000, 0.500, 0.765], [0.500, 0.000, 0.432], [0.500, 0.500, 0.942]], "dos_ef_per_ev_atom": 3.30, "m_tot_mub_per_cell": 4.8, "ef_kj_per_mol_atoms": -48}